First-principles (GGA-PBE) data for a relaxed structure of Mg2InIr, as listed in Alexandria.

Summary:
- DFT formation energy: -0.072 eV per atom

a b c (Å): 9.2631 9.2631 9.2631
angles (deg): 19.41 19.41 19.41
With the nearest neighbours (Å) after each atom.
Positions (direct):
Mg 0.0103 0.0103 0.0103  3 Ir 2.69
Mg 0.4897 0.4897 0.4897  3 Ir 2.69
In 0.2500 0.2500 0.2500  6 In 3.12, 6 Mg 3.13
Ir 0.7500 0.7500 0.7500  6 Mg 2.69

First-principles (GGA-PBE) data for a relaxed structure of LaSiSb2, as listed in Alexandria.

a b c (Å): 5.3411 5.3411 5.3411
angles (deg): 60.00 60.00 60.00
With the nearest neighbours (Å) after each atom.
Positions (direct):
Sb 0.2500 0.2500 0.2500  4 La 3.27, 4 Sb 3.27
Sb 0.0000 0.0000 0.0000  4 Si 3.27, 4 Sb 3.27
La 0.5000 0.5000 0.5000  4 Sb 3.27, 4 Si 3.27
Si 0.7500 0.7500 0.7500  4 Sb 3.27, 4 La 3.27

First-principles (GGA-PBE) data for a relaxed structure of Sc2B, as listed in Alexandria.

Summary:
- DFT formation energy: 0.010 eV per atom
- Distance to the lowest polymorph of the same formula: 0.159 eV/atom

a b c (Å): 3.8455 3.8455 4.2793
angles (deg): 90.00 90.00 120.00
With the nearest neighbours (Å) after each atom.
Positions (direct):
Sc 0.3333 0.6667 0.7366  3 B 2.44
Sc 0.6667 0.3333 0.2634  3 B 2.44
B 0.0000 0.0000 0.5000  6 Sc 2.44

First-principles (GGA-PBE) data for a relaxed structure of LaCN2F, as listed in Alexandria.

Summary:
- Distance to the lowest polymorph of the same formula: 0.004 eV/atom

a b c (Å): 3.9802 5.4473 6.5119
angles (deg): 103.87 90.00 90.00
With the nearest neighbours (Å) after each atom.
Positions (direct):
La 0.2500 0.1826 0.7948  3 F 2.43-2.51, 3 N 2.57-2.61
La 0.7500 0.8174 0.2052  3 F 2.43-2.51, 3 N 2.57-2.61
N 0.2500 0.5160 0.2321  1 C 1.23
N 0.7500 0.8496 0.6050  1 C 1.24
N 0.7500 0.4840 0.7679  1 C 1.23
N 0.2500 0.1504 0.3950  1 C 1.24
C 0.2500 0.3379 0.3188  2 N 1.23-1.24
C 0.7500 0.6621 0.6812  2 N 1.23-1.24
F 0.7500 0.1593 0.0245  3 La 2.43-2.51, 2 F 2.61, 1 N 2.71
F 0.2500 0.8407 0.9755  3 La 2.43-2.51, 2 F 2.61, 1 N 2.71

One value per record, in order, for total DFT energy (no corrections): -15.08; -18.98; -19.31; -82.30 eV per cell.
One value per record, in order, for size of the total moment: 0.000; 0.000; 0.000; 0.000 μB per atom.
One value per record, in order, for mass density: 7.7; 6.3; 3.1; 4.8 g cm⁻³.